{"formula": "CaTb8Dy5", "functional": "PBE", "state": "optimized geometry", "magnetic_moment_mub_per_cell": 0.000, "delta_e_f_mev_per_atom": 242.3, "spacegroup": "I-4, No. 82", "lattice": [[-7.132, -3.430, -3.085], [6.166, -0.028, -5.842], [2.185, -4.663, 6.755]], "species": ["Ca", "Tb", "Tb", "Tb", "Tb", "Tb", "Tb", "Tb", "Tb", "Dy", "Dy", "Dy", "Dy", "Dy"], "frac_coords": [[0.250, 0.500, 0.750], [0.162, 0.739, 0.083], [0.917, 0.078, 0.656], [0.724, 0.253, 0.328], [0.672, 0.396, 0.925], [0.529, 0.604, 0.276], [0.578, 0.922, 0.838], [0.344, 0.261, 0.422], [0.075, 0.747, 0.471], [0.036, 0.319, 0.133], [0.867, 0.903, 0.185], [0.815, 0.681, 0.718], [0.500, 0.000, 0.500], [0.282, 0.097, 0.964]]}